(1)
First-principles (PBE) data for a relaxed Ho7InSn5 crystal, as listed in the Alexandria database. Values from VASP.

Geometry as Quantum ESPRESSO input:
```
&SYSTEM
  ibrav = 0, nat = 13, ntyp = 3
/
ATOMIC_SPECIES
Ho 164.93 Ho.upf
In 114.82 In.upf
Sn 118.71 Sn.upf
ATOMIC_POSITIONS crystal
Ho 0.0000 0.0000 0.0000
Ho 0.1075 0.7724 0.3351
Ho 0.3790 0.3790 0.0000
Ho 0.4373 0.7724 0.6649
Ho 0.5365 0.0365 0.5000
Ho 0.6251 0.2879 0.3372
Ho 0.9507 0.2879 0.6628
In 0.6960 0.6960 0.0000
Sn 0.0319 0.5319 0.5000
Sn 0.2874 0.2781 0.5100
Sn 0.2874 0.7774 0.0093
Sn 0.7681 0.2781 0.9907
Sn 0.7681 0.7774 0.4900
CELL_PARAMETERS angstrom
-3.0934 5.6317 5.2463
3.0934 -5.6317 5.2463
3.0934 5.6317 -5.2463
```

---

(2)
First-principles (PBE) data for a relaxed Ho7In2Sn2 crystal, as listed in the Alexandria database. Values from VASP.

Geometry as Quantum ESPRESSO input:
```
&SYSTEM
  ibrav = 0, nat = 11, ntyp = 3
/
ATOMIC_SPECIES
Ho 164.93 Ho.upf
In 114.82 In.upf
Sn 118.71 Sn.upf
ATOMIC_POSITIONS crystal
Ho 0.0000 0.0000 0.0000
Ho 0.0000 0.5000 0.2853
Ho 0.0000 0.5000 0.7147
Ho 0.5000 0.0000 0.2853
Ho 0.5000 0.0000 0.7147
Ho 0.5000 0.5000 0.2696
Ho 0.5000 0.5000 0.7304
In 0.1761 0.1761 0.5000
In 0.8239 0.8239 0.5000
Sn 0.2929 0.7071 0.0000
Sn 0.7071 0.2929 0.0000
CELL_PARAMETERS angstrom
4.0362 -5.5297 0.0000
4.0362 5.5297 0.0000
0.0000 0.0000 7.6340
```

---

(3)
First-principles (PBE) data for a relaxed Ho7In4Sn crystal, as listed in the Alexandria database. Values from VASP.

Geometry as Quantum ESPRESSO input:
```
&SYSTEM
  ibrav = 0, nat = 12, ntyp = 3
/
ATOMIC_SPECIES
Ho 164.93 Ho.upf
In 114.82 In.upf
Sn 118.71 Sn.upf
ATOMIC_POSITIONS crystal
Ho 0.0000 0.0000 0.0000
Ho 0.1583 0.1583 0.5930
Ho 0.2847 0.2847 0.1303
Ho 0.4300 0.4300 0.6794
Ho 0.5700 0.5700 0.3206
Ho 0.7153 0.7153 0.8697
Ho 0.8417 0.8417 0.4070
In 0.0633 0.0633 0.7726
In 0.2056 0.2056 0.3425
In 0.7944 0.7944 0.6575
In 0.9367 0.9367 0.2274
Sn 0.5000 0.5000 0.0000
CELL_PARAMETERS angstrom
7.1667 -2.8504 0.0000
7.1667 2.8504 0.0000
-6.8123 0.0000 8.7981
```

---

(4)
! Ho3In2Sn | the Alexandria database | PBE | relaxed; values from VASP
&SYSTEM
  ibrav = 0, nat = 12, ntyp = 3
/
ATOMIC_SPECIES
Ho 164.93 Ho.upf
In 114.82 In.upf
Sn 118.71 Sn.upf
ATOMIC_POSITIONS crystal
Ho 0.0000 0.0000 0.0000
Ho 0.0000 0.3372 0.0000
Ho 0.0000 0.6628 0.0000
Ho 0.5000 0.1628 0.0000
Ho 0.5000 0.5000 0.0000
Ho 0.5000 0.8372 0.0000
In 0.0000 0.1715 0.5000
In 0.0000 0.8285 0.5000
In 0.5000 0.3285 0.5000
In 0.5000 0.6715 0.5000
Sn 0.0000 0.5000 0.5000
Sn 0.5000 0.0000 0.5000
CELL_PARAMETERS angstrom
5.3137 0.0000 0.0000
0.0000 15.9930 0.0000
0.0000 0.0000 3.7323
! * E above lowest polymorph: 8 meV per atom

---

(5)
! Ho6In5Sn | the Alexandria database | PBE | relaxed; values from VASP
&SYSTEM
  ibrav = 0, nat = 12, ntyp = 3
/
ATOMIC_SPECIES
Ho 164.93 Ho.upf
In 114.82 In.upf
Sn 118.71 Sn.upf
ATOMIC_POSITIONS crystal
Ho 0.0829 0.4133 0.7481
Ho 0.2467 0.2467 0.2468
Ho 0.4133 0.0829 0.7481
Ho 0.5867 0.9171 0.2519
Ho 0.7533 0.7533 0.7532
Ho 0.9171 0.5867 0.2519
In 0.1711 0.8289 0.0000
In 0.3339 0.6661 0.5000
In 0.5000 0.5000 0.0000
In 0.6661 0.3339 0.5000
In 0.8289 0.1711 0.0000
Sn 0.0000 0.0000 0.5000
CELL_PARAMETERS angstrom
4.5472 -8.0098 0.0000
4.5472 8.0098 0.0000
-3.1415 0.0000 4.3329
! * E above lowest polymorph: 0 meV per atom

---

(6)
First-principles (PBE) data for a relaxed HoThInSn crystal, as listed in the Alexandria database. Values from VASP.

Geometry as Quantum ESPRESSO input:
```
&SYSTEM
  ibrav = 0, nat = 16, ntyp = 4
/
ATOMIC_SPECIES
Ho 164.93 Ho.upf
Th 232.04 Th.upf
In 114.82 In.upf
Sn 118.71 Sn.upf
ATOMIC_POSITIONS crystal
Ho 0.0000 0.0000 0.0000
Ho 0.0000 0.5000 0.5000
Ho 0.5000 0.0000 0.5000
Ho 0.5000 0.5000 0.0000
Th 0.0000 0.0000 0.5000
Th 0.0000 0.5000 0.0000
Th 0.5000 0.0000 0.0000
Th 0.5000 0.5000 0.5000
In 0.2500 0.2500 0.2500
In 0.2500 0.7500 0.7500
In 0.7500 0.2500 0.7500
In 0.7500 0.7500 0.2500
Sn 0.2500 0.2500 0.7500
Sn 0.2500 0.7500 0.2500
Sn 0.7500 0.2500 0.2500
Sn 0.7500 0.7500 0.7500
CELL_PARAMETERS angstrom
7.6499 0.0000 0.0000
0.0000 7.6499 0.0000
0.0000 0.0000 7.6499
```

---

(7)
First-principles (PBE) data for a relaxed YHoInSn crystal, as listed in the Alexandria database. Values from VASP.

Geometry as Quantum ESPRESSO input:
```
&SYSTEM
  ibrav = 0, nat = 16, ntyp = 4
/
ATOMIC_SPECIES
Y 88.91 Y.upf
Ho 164.93 Ho.upf
In 114.82 In.upf
Sn 118.71 Sn.upf
ATOMIC_POSITIONS crystal
Y 0.0000 0.0000 0.0000
Y 0.0000 0.5000 0.5000
Y 0.5000 0.0000 0.5000
Y 0.5000 0.5000 0.0000
Ho 0.0000 0.0000 0.5000
Ho 0.0000 0.5000 0.0000
Ho 0.5000 0.0000 0.0000
Ho 0.5000 0.5000 0.5000
In 0.2500 0.2500 0.7500
In 0.2500 0.7500 0.2500
In 0.7500 0.2500 0.2500
In 0.7500 0.7500 0.7500
Sn 0.2500 0.2500 0.2500
Sn 0.2500 0.7500 0.7500
Sn 0.7500 0.2500 0.7500
Sn 0.7500 0.7500 0.2500
CELL_PARAMETERS angstrom
7.5345 0.0000 0.0000
0.0000 7.5345 0.0000
0.0000 0.0000 7.5345
```

---

(8)
First-principles (PBE) data for a relaxed HoZnInSn crystal, as listed in the Alexandria database. Values from VASP.

Geometry as Quantum ESPRESSO input:
```
&SYSTEM
  ibrav = 0, nat = 4, ntyp = 4
/
ATOMIC_SPECIES
Ho 164.93 Ho.upf
Zn 65.41 Zn.upf
In 114.82 In.upf
Sn 118.71 Sn.upf
ATOMIC_POSITIONS crystal
Ho 0.0000 0.0000 0.0000
Zn 0.5000 0.0000 0.5000
In 0.0000 0.5000 0.5000
Sn 0.5000 0.5000 0.0000
CELL_PARAMETERS angstrom
4.4569 0.0000 0.0000
0.0000 4.4666 0.0000
0.0000 0.0000 4.6220
```

---

(9)
First-principles (PBE) data for a relaxed SrHo2In9 crystal, as listed in the Alexandria database. Values from VASP.

Geometry as Quantum ESPRESSO input:
```
&SYSTEM
  ibrav = 0, nat = 12, ntyp = 3
/
ATOMIC_SPECIES
Sr 87.62 Sr.upf
Ho 164.93 Ho.upf
In 114.82 In.upf
ATOMIC_POSITIONS crystal
Sr 0.0000 0.0000 0.0000
Ho 0.0000 0.0000 0.3405
Ho 0.0000 0.0000 0.6595
In 0.0000 0.5000 0.1754
In 0.0000 0.5000 0.5000
In 0.0000 0.5000 0.8246
In 0.5000 0.0000 0.1754
In 0.5000 0.0000 0.5000
In 0.5000 0.0000 0.8246
In 0.5000 0.5000 0.0000
In 0.5000 0.5000 0.3357
In 0.5000 0.5000 0.6643
CELL_PARAMETERS angstrom
4.7063 0.0000 0.0000
0.0000 4.7063 0.0000
0.0000 0.0000 14.1235
```

---

(10)
First-principles (PBE) data for a relaxed SrHo2In3 crystal, as listed in the Alexandria database. Values from VASP.

Geometry as Quantum ESPRESSO input:
```
&SYSTEM
  ibrav = 0, nat = 6, ntyp = 3
/
ATOMIC_SPECIES
Sr 87.62 Sr.upf
Ho 164.93 Ho.upf
In 114.82 In.upf
ATOMIC_POSITIONS crystal
Sr 0.0000 0.0000 0.0000
Ho 0.0000 0.0000 0.3432
Ho 0.0000 0.0000 0.6568
In 0.5000 0.5000 0.1908
In 0.5000 0.5000 0.5000
In 0.5000 0.5000 0.8092
CELL_PARAMETERS angstrom
3.8317 0.0000 0.0000
0.0000 3.8317 0.0000
0.0000 0.0000 11.6891
```

---

(11)
! SrHoIn | the Alexandria database | PBE | relaxed; values from VASP
&SYSTEM
  ibrav = 0, nat = 6, ntyp = 3
/
ATOMIC_SPECIES
Sr 87.62 Sr.upf
Ho 164.93 Ho.upf
In 114.82 In.upf
ATOMIC_POSITIONS crystal
Sr 0.2500 0.2500 0.1452
Sr 0.7500 0.7500 0.8548
Ho 0.2500 0.7500 0.5000
Ho 0.7500 0.2500 0.5000
In 0.2500 0.2500 0.7289
In 0.7500 0.7500 0.2711
CELL_PARAMETERS angstrom
5.0750 0.0000 0.0000
0.0000 5.0750 0.0000
0.0000 0.0000 8.2377
! * E above lowest polymorph: 0 meV per atom

---

(12)
! SrHo2In | the Alexandria database | PBE | relaxed; values from VASP
&SYSTEM
  ibrav = 0, nat = 12, ntyp = 3
/
ATOMIC_SPECIES
Sr 87.62 Sr.upf
Ho 164.93 Ho.upf
In 114.82 In.upf
ATOMIC_POSITIONS crystal
Sr 0.0000 0.0000 0.0000
Sr 0.3333 0.6667 0.6667
Sr 0.6667 0.3333 0.3333
Ho 0.0000 0.0000 0.1000
Ho 0.0000 0.0000 0.9000
Ho 0.3333 0.6667 0.5667
Ho 0.3333 0.6667 0.7666
Ho 0.6667 0.3333 0.2334
Ho 0.6667 0.3333 0.4333
In 0.0000 0.0000 0.5000
In 0.3333 0.6667 0.1667
In 0.6667 0.3333 0.8333
CELL_PARAMETERS angstrom
3.6638 0.0000 0.0000
-1.8319 3.1730 0.0000
0.0000 0.0000 35.7941
! * E above lowest polymorph: 189 meV per atom

---

Number 1: DFT formation energy -0.433 eV per atom, VASP energy -4.65 eV per atom, density of states at the Fermi level 12.009 states/eV/cell. Number 2: DFT formation energy -0.201 eV per atom, VASP energy -4.34 eV per atom, density of states at the Fermi level 11.243 states/eV/cell. Number 3: DFT formation energy -0.185 eV per atom, VASP energy -4.10 eV per atom, density of states at the Fermi level 9.482 states/eV/cell. Number 4: DFT formation energy -0.486 eV per atom, VASP energy -4.35 eV per atom, density of states at the Fermi level 6.770 states/eV/cell. Number 5: DFT formation energy -0.470 eV per atom, VASP energy -4.23 eV per atom, density of states at the Fermi level 5.960 states/eV/cell. Number 6: DFT formation energy -0.381 eV per atom, VASP energy -5.07 eV per atom, density of states at the Fermi level 14.233 states/eV/cell. Number 7: DFT formation energy -0.507 eV per atom, VASP energy -4.95 eV per atom, density of states at the Fermi level 12.332 states/eV/cell. Number 8: DFT formation energy -0.397 eV per atom, VASP energy -3.55 eV per atom, density of states at the Fermi level 1.410 states/eV/cell. Number 9: DFT formation energy -0.366 eV per atom, VASP energy -3.32 eV per atom, density of states at the Fermi level 4.770 states/eV/cell. Number 10: DFT formation energy -0.439 eV per atom, VASP energy -3.61 eV per atom, density of states at the Fermi level 3.790 states/eV/cell. Number 11: DFT formation energy -0.304 eV per atom, VASP energy -3.30 eV per atom, density of states at the Fermi level 4.521 states/eV/cell. Number 12: DFT formation energy 0.093 eV per atom, VASP energy -3.30 eV per atom, density of states at the Fermi level 14.588 states/eV/cell.